Material: Rb2HoV2O6
Method: DFT, PBE with a Hubbard U
State: optimized geometry

Results
Space-group type = R-3m, No. 166
VASP energy = -6.821 eV per atom
Crystal system = trigonal
Theoretical density = 4.4 Mg/m³

abc: 7.074 7.074 7.074
angles: 51.64 51.64 51.64
Fractional coordinates of all 11 atoms:
Rb  0.213  0.213  0.213
Rb  0.787  0.787  0.787
Ho  0.000  0.000  0.000
V  0.418  0.418  0.418
V  0.582  0.582  0.582
O  0.244  0.244  0.736
O  0.244  0.736  0.244
O  0.264  0.756  0.756
O  0.736  0.244  0.244
O  0.756  0.264  0.756
O  0.756  0.756  0.264